Entry 1:
KCdRh2: optimized geometry, PBEsol.

Structure (POSCAR):
```
KCdRh2
1.0
-1.393 2.559 5.339
1.393 -2.559 5.339
1.393 2.559 -5.339
K Cd Rh
1 1 2
direct
0.000 0.000 0.000 K
0.705 0.205 0.500 Cd
0.278 0.778 0.500 Rh
0.473 0.473 0.000 Rh
```

Computed properties:
ρ in g/cm³: 7.79
DFT formation energy in eV per atom: 0.488
SG: Imm2, No. 44

Entry 2:
KCdRh2: optimized geometry, PBEsol.

Structure (POSCAR):
```
KCdRh2
1.0
-2.341 2.341 3.279
2.341 -2.341 3.279
2.341 2.341 -3.279
K Cd Rh
1 1 2
direct
0.000 0.000 0.000 K
0.250 0.750 0.500 Cd
0.500 0.500 0.000 Rh
0.750 0.250 0.500 Rh
```

Computed properties:
ρ in g/cm³: 8.26
DFT formation energy in eV per atom: 0.721
SG: I-4m2, No. 119

Entry 3:
KCd3Rh: optimized geometry, PBEsol.

Structure (POSCAR):
```
KCd3Rh
1.0
-3.535 5.111 3.723
3.535 -5.111 3.723
3.535 5.111 -3.723
K Cd Rh
2 6 2
direct
0.338 0.088 0.250 K
0.662 0.912 0.750 K
0.184 0.434 0.750 Cd
0.212 0.000 0.712 Cd
0.212 0.500 0.212 Cd
0.788 0.000 0.288 Cd
0.788 0.500 0.788 Cd
0.816 0.566 0.250 Cd
0.000 0.500 0.500 Rh
0.500 0.500 0.000 Rh
```

Computed properties:
ρ in g/cm³: 5.92
DFT formation energy in eV per atom: -0.031
Distance to the lowest polymorph of the same formula in meV/atom: 0
SG: Imma, No. 74

Entry 4:
KCdRh2: optimized geometry, PBEsol.

Structure (POSCAR):
```
KCdRh2
1.0
2.821 0.000 0.000
0.000 2.821 0.000
0.000 0.000 9.123
K Cd Rh
1 1 2
direct
0.000 0.000 0.000 K
0.000 0.000 0.500 Cd
0.500 0.500 0.284 Rh
0.500 0.500 0.716 Rh
```

Computed properties:
ρ in g/cm³: 8.17
DFT formation energy in eV per atom: 0.521
SG: P4/mmm, No. 123

Entry 5:
KCd3Rh: optimized geometry, PBEsol.

Structure (POSCAR):
```
KCd3Rh
1.0
5.160 0.000 0.000
0.000 5.160 0.000
0.000 0.000 5.160
K Cd Rh
1 3 1
direct
0.000 0.000 0.000 K
0.000 0.500 0.500 Cd
0.500 0.000 0.500 Cd
0.500 0.500 0.000 Cd
0.500 0.500 0.500 Rh
```

Computed properties:
ρ in g/cm³: 5.79
DFT formation energy in eV per atom: -0.015
Distance to the lowest polymorph of the same formula in meV/atom: 16
SG: Pm-3m, No. 221

Entry 6:
KScCdRh2: optimized geometry, PBEsol.

Structure (POSCAR):
```
KScCdRh2
1.0
4.956 0.000 0.000
0.000 4.956 0.000
0.000 0.000 5.008
K Sc Cd Rh
1 1 1 2
direct
0.000 0.000 0.000 K
0.500 0.500 0.000 Sc
0.000 0.000 0.500 Cd
0.000 0.500 0.500 Rh
0.500 0.000 0.500 Rh
```

Computed properties:
ρ in g/cm³: 5.43
DFT formation energy in eV per atom: 1.124
SG: P4/mmm, No. 123

Entry 7:
KCdRu2: optimized geometry, PBEsol.

Structure (POSCAR):
```
KCdRu2
1.0
4.953 -1.381 0.000
4.953 1.381 0.000
-0.743 0.000 6.148
K Cd Ru
1 1 2
direct
0.000 0.000 0.000 K
0.500 0.500 0.500 Cd
0.234 0.234 0.659 Ru
0.766 0.766 0.341 Ru
```

Computed properties:
ρ in g/cm³: 6.98
DFT formation energy in eV per atom: 0.937
SG: C2/m, No. 12

Entry 8:
K2CdRu: optimized geometry, PBEsol.

Structure (POSCAR):
```
K2CdRu
1.0
2.870 0.000 0.000
0.000 5.484 0.000
-0.008 0.000 5.928
K Cd Ru
2 1 1
direct
0.005 0.000 0.240 K
0.995 0.000 0.760 K
0.500 0.500 0.500 Cd
0.500 0.500 0.000 Ru
```

Computed properties:
ρ in g/cm³: 5.19
DFT formation energy in eV per atom: 0.934
SG: P2/m, No. 10

> Number 3 is which compound?

KCd3Rh

> Number 6 is which compound?

KScCdRh2

> The lowest DFT formation energy belongs to which entry?

number 3

Copy entry 4 word for word.
KCdRh2: optimized geometry, PBEsol.

Structure (POSCAR):
```
KCdRh2
1.0
2.821 0.000 0.000
0.000 2.821 0.000
0.000 0.000 9.123
K Cd Rh
1 1 2
direct
0.000 0.000 0.000 K
0.000 0.000 0.500 Cd
0.500 0.500 0.284 Rh
0.500 0.500 0.716 Rh
```

Computed properties:
ρ in g/cm³: 8.17
DFT formation energy in eV per atom: 0.521
SG: P4/mmm, No. 123